No. 1
First-principles (GGA-PBE) data for an optimized crystal structure of ScAlCoMo2, as listed in Alexandria via LeMat-Bulk.

Cell and atoms, written as CIF:
```
data_ScAlCoMo2
_space_group_name_H-M_alt 'P 4/m m m'
_space_group_IT_number 123
_space_group_name_Hall '-P 4 2'
_cell_length_a 4.529
_cell_length_b 4.529
_cell_length_c 4.838
_cell_angle_alpha 90.00
_cell_angle_beta 90.00
_cell_angle_gamma 90.00
loop_
_atom_site_label
_atom_site_fract_x
_atom_site_fract_y
_atom_site_fract_z
_atom_site_occupancy
Sc1 0.000 0.000 0.000 1
Al1 0.000 0.000 0.500 1
Co1 0.500 0.500 0.500 1
Mo1 0.000 0.500 0.000 1
```

## Properties
- total magnetization (μB per formula unit) = 0.00
- energy relative to the elements (meV/atom) = 2051

No. 2
First-principles (GGA-PBE) data for an optimized crystal structure of Cd3ReGe, as listed in Alexandria via LeMat-Bulk.

Cell and atoms, written as CIF:
```
data_Cd3ReGe
_space_group_name_H-M_alt 'P m -3 m'
_space_group_IT_number 221
_space_group_name_Hall '-P 4 2 3'
_cell_length_a 5.224
_cell_length_b 5.224
_cell_length_c 5.224
_cell_angle_alpha 90.00
_cell_angle_beta 90.00
_cell_angle_gamma 90.00
loop_
_atom_site_label
_atom_site_fract_x
_atom_site_fract_y
_atom_site_fract_z
_atom_site_occupancy
Cd1 0.000 0.000 0.500 1
Re1 0.000 0.000 0.000 1
Ge1 0.500 0.500 0.500 1
```

## Properties
- total magnetization (μB per formula unit) = 0.97
- energy relative to the elements (meV/atom) = 1205

No. 3
First-principles (GGA-PBE) data for an optimized crystal structure of SrHoGaHg, as listed in Alexandria via LeMat-Bulk.

Cell and atoms, written as CIF:
```
data_SrHoGaHg
_space_group_name_H-M_alt 'F -4 3 m'
_space_group_IT_number 216
_space_group_name_Hall 'F -4 2 3'
_cell_length_a 7.580
_cell_length_b 7.580
_cell_length_c 7.580
_cell_angle_alpha 90.00
_cell_angle_beta 90.00
_cell_angle_gamma 90.00
loop_
_atom_site_label
_atom_site_fract_x
_atom_site_fract_y
_atom_site_fract_z
_atom_site_occupancy
Sr1 0.000 0.000 0.000 1
Ho1 0.000 0.000 0.500 1
Ga1 0.250 0.250 0.750 1
Hg1 0.250 0.250 0.250 1
```

## Properties
- total magnetization (μB per formula unit) = 0.00
- energy relative to the elements (meV/atom) = -421

No. 4
First-principles (GGA-PBE) data for an optimized crystal structure of NaMnPt, as listed in Alexandria via LeMat-Bulk.

Cell and atoms, written as CIF:
```
data_NaMnPt
_space_group_name_H-M_alt 'C 1 2/m 1'
_space_group_IT_number 12
_space_group_name_Hall '-C 2y'
_cell_length_a 21.836
_cell_length_b 3.800
_cell_length_c 2.793
_cell_angle_alpha 90.00
_cell_angle_beta 90.84
_cell_angle_gamma 90.00
loop_
_atom_site_label
_atom_site_fract_x
_atom_site_fract_y
_atom_site_fract_z
_atom_site_occupancy
Na1 0.173 0.000 0.265 1
Mn1 0.036 0.000 0.254 1
Pt1 0.080 0.500 0.759 1
```

## Properties
- total magnetization (μB per formula unit) = 0.00
- energy relative to the elements (meV/atom) = 73

No. 5
First-principles (GGA-PBE) data for an optimized crystal structure of Gd2DyBi, as listed in Alexandria via LeMat-Bulk.

Cell and atoms, written as CIF:
```
data_Gd2DyBi
_space_group_name_H-M_alt 'P 4/m m m'
_space_group_IT_number 123
_space_group_name_Hall '-P 4 2'
_cell_length_a 4.123
_cell_length_b 4.123
_cell_length_c 7.196
_cell_angle_alpha 90.00
_cell_angle_beta 90.00
_cell_angle_gamma 90.00
loop_
_atom_site_label
_atom_site_fract_x
_atom_site_fract_y
_atom_site_fract_z
_atom_site_occupancy
Gd1 0.000 0.000 0.229 1
Dy1 0.500 0.500 0.500 1
Bi1 0.500 0.500 0.000 1
```

## Properties
- total magnetization (μB per formula unit) = 15.83
- energy relative to the elements (meV/atom) = -393

No. 6
First-principles (GGA-PBE) data for an optimized crystal structure of AgPtIN2, as listed in Alexandria via LeMat-Bulk.

Cell and atoms, written as CIF:
```
data_AgPtIN2
_space_group_name_H-M_alt 'P 4/m m m'
_space_group_IT_number 123
_space_group_name_Hall '-P 4 2'
_cell_length_a 3.854
_cell_length_b 3.854
_cell_length_c 8.785
_cell_angle_alpha 90.00
_cell_angle_beta 90.00
_cell_angle_gamma 90.00
loop_
_atom_site_label
_atom_site_fract_x
_atom_site_fract_y
_atom_site_fract_z
_atom_site_occupancy
Ag1 0.000 0.000 0.000 1
Pt1 0.500 0.500 0.500 1
I1 0.500 0.500 0.000 1
N1 0.000 0.500 0.500 1
```

## Properties
- total magnetization (μB per formula unit) = 0.00
- formation energy (no corrections) (eV per atom) = 1.05

No. 7
First-principles (GGA-PBE) data for an optimized crystal structure of AcTbPm4Tm2, as listed in Alexandria via LeMat-Bulk.

Cell and atoms, written as CIF:
```
data_AcTbPm4Tm2
_space_group_name_H-M_alt 'P m m m'
_space_group_IT_number 47
_space_group_name_Hall '-P 2 2'
_cell_length_a 5.959
_cell_length_b 5.977
_cell_length_c 7.707
_cell_angle_alpha 90.00
_cell_angle_beta 90.00
_cell_angle_gamma 90.00
loop_
_atom_site_label
_atom_site_fract_x
_atom_site_fract_y
_atom_site_fract_z
_atom_site_occupancy
Ac1 0.000 0.000 0.000 1
Tb1 0.500 0.500 0.500 1
Pm1 0.000 0.500 0.268 1
Pm2 0.500 0.000 0.270 1
Tm1 0.000 0.000 0.500 1
Tm2 0.500 0.500 0.000 1
```

## Properties
- total magnetization (μB per formula unit) = 0.00
- energy relative to the elements (meV/atom) = 125

No. 8
First-principles (GGA-PBE) data for an optimized crystal structure of Ce4SbP3, as listed in Alexandria via LeMat-Bulk.

Cell and atoms, written as CIF:
```
data_Ce4SbP3
_space_group_name_H-M_alt 'P 63/m m c'
_space_group_IT_number 194
_space_group_name_Hall '-P 6c 2c'
_cell_length_a 4.1542
_cell_length_b 4.1542
_cell_length_c 28.0123
_cell_angle_alpha 90.00
_cell_angle_beta 90.00
_cell_angle_gamma 120.00
loop_
_atom_site_label
_atom_site_fract_x
_atom_site_fract_y
_atom_site_fract_z
_atom_site_occupancy
Ce1 0.0000 0.0000 0.1746 1
Ce2 0.3333 0.6667 0.0583 1
Sb1 0.3333 0.6667 0.2500 1
P1 0.0000 0.0000 0.0000 1
P2 0.3333 0.6667 0.6185 1
```

## Properties
- total magnetization (μB per formula unit) = 2.67
- formation energy (no corrections) (eV per atom) = -1.34